No. 1
Material: Sc3InCo
Method: DFT, PBE-GGA
State: optimized geometry

Computed properties:
**Space-group type**: Pm-3m (221)
**Energy of formation**: -0.193 eV/atom

Cell: 4.8246 4.8246 4.8246 Å, 90.00 90.00 90.00°
Element x y z (fractional)
Sc 0.0000 0.5000 0.0000
Sc 0.0000 0.0000 0.5000
Sc 0.5000 0.0000 0.0000
Co 0.0000 0.0000 0.0000
In 0.5000 0.5000 0.5000

---

No. 2
Material: Sc8InCo2
Method: DFT, PBE-GGA
State: optimized geometry

Computed properties:
**Space-group type**: Imm2 (44)
**Energy of formation**: -0.210 eV/atom

Cell: 4.9159 6.3089 8.3729 Å, 112.12 107.06 90.03°
Element x y z (fractional)
Sc 0.6367 0.2869 0.9091
Sc 0.9632 0.0120 0.5630
Sc 0.3094 0.3581 0.2552
Sc 0.7455 0.9231 0.1270
Sc 0.3477 0.8611 0.3319
Sc 0.9248 0.4383 0.4862
Sc 0.1370 0.5370 0.9091
Sc 0.5275 0.7051 0.6913
In 0.1366 0.9832 0.9091
Co 0.8080 0.6199 0.2536
Co 0.4636 0.2753 0.5645

---

No. 3
Material: ScIn2Co
Method: DFT, PBE-GGA
State: optimized geometry

Computed properties:
**Space-group type**: C2/m (12)
**Energy of formation**: -0.042 eV/atom

Cell: 5.3516 5.3516 5.0360 Å, 67.71 67.71 36.51°
Site moments in Bohr magnetons follow the coordinates.
Element x y z (fractional)
Co 0.2500 0.2500 0.2500  1.03
In 0.9713 0.9713 0.0319  0.01
In 0.5287 0.5287 0.4681  0.01
Sc 0.7500 0.7500 0.7500  -0.07

---

No. 4
Material: Sc2In8Co
Method: DFT, PBE-GGA
State: optimized geometry

Computed properties:
**Space-group type**: P4/mmm (123)
**Energy of formation**: -0.220 eV/atom

Cell: 4.5202 4.5202 11.8818 Å, 90.00 90.00 90.00°
Element x y z (fractional)
Sc 0.0000 0.0000 0.3086
Sc 0.0000 0.0000 0.6914
In 0.0000 0.5000 0.5000
In 0.5000 0.0000 0.5000
In 0.5000 0.5000 0.3096
In 0.5000 0.5000 0.6904
In 0.0000 0.5000 0.1228
In 0.5000 0.0000 0.1228
In 0.0000 0.5000 0.8772
In 0.5000 0.0000 0.8772
Co 0.0000 0.0000 0.0000

---

No. 5
Material: ScIn2Co
Method: DFT, PBE-GGA
State: optimized geometry

Computed properties:
**Space-group type**: Cm (8)
**Energy of formation**: -0.092 eV/atom

Cell: 6.5245 6.5245 4.4693 Å, 70.03 70.03 27.08°
Element x y z (fractional)
Co 0.2392 0.2392 0.2610
In 0.9377 0.9377 0.0620
In 0.7564 0.7564 0.7437
Sc 0.5667 0.5667 0.4332

---

No. 6
Material: ScIn2Co
Method: DFT, PBE-GGA
State: optimized geometry

Computed properties:
**Space-group type**: P4mm (99)
**Energy of formation**: -0.132 eV/atom

Cell: 3.1532 3.1532 7.9269 Å, 90.00 90.00 90.00°
Site moments in Bohr magnetons follow the coordinates.
Element x y z (fractional)
Co 0.5000 0.5000 0.7409  0.60
In 0.0000 0.0000 0.9436  -0.01
In 0.5000 0.5000 0.2618  -0.01
Sc 0.0000 0.0000 0.5537  -0.10

---

No. 7
Material: Sc2InCo2
Method: DFT, PBE-GGA
State: optimized geometry

Computed properties:
**Space-group type**: I4/mmm (139)
**Energy of formation**: -0.122 eV/atom

Cell: 3.2998 3.2998 8.8653 Å, 79.27 79.27 90.00°
Site moments in Bohr magnetons follow the coordinates.
Element x y z (fractional)
Sc 0.3751 0.3751 0.2499  -0.14
Sc 0.6249 0.6249 0.7501  -0.14
Co 0.7500 0.2500 0.5000  1.32
Co 0.2500 0.7500 0.5000  1.32
In 0.0000 0.0000 0.0000  0.00

---

No. 8
Material: ScIn2Co
Method: DFT, PBE-GGA
State: optimized geometry

Computed properties:
**Space-group type**: P-1 (2)
**Energy of formation**: -0.085 eV/atom

Cell: 7.3682 4.2127 4.3326 Å, 90.00 53.89 124.94°
Site moments in Bohr magnetons follow the coordinates.
Element x y z (fractional)
Co 0.5000 0.5000 0.0000  1.31
In 0.0000 0.0000 0.0000  0.00
In 0.5000 0.0000 0.5000  0.01
Sc 0.0000 0.5000 0.5000  -0.03